No. 1
# Mg7AgSn4 (PBE-GGA, optimized geometry)
data_Mg7AgSn4
_chemical_formula_sum 'Mg14 Ag2 Sn8'
_cell_length_a 13.9083
_cell_length_b 5.2464
_cell_length_c 10.5374
_cell_angle_alpha 90.00
_cell_angle_beta 127.09
_cell_angle_gamma 90.00
_symmetry_space_group_name_H-M 'C 1 2/m 1'
_symmetry_Int_Tables_number 12
_symmetry_space_group_name_Hall '-C 2y'
loop_
_atom_site_label
_atom_site_fract_x
_atom_site_fract_y
_atom_site_fract_z
Mg1 0.0000 0.0000 0.0000
Mg2 0.0628 0.5000 0.4150
Mg3 0.1610 0.0000 0.8773
Mg4 0.2261 0.5000 0.3081
Ag1 0.0000 0.5000 0.0000
Sn1 0.1103 0.0000 0.3327
Sn2 0.2048 0.5000 0.7697
# E_form ... -0.9 kJ/mol of atoms
# Energy ... -2.51 eV per atom

No. 2
# PrHSe2 (PBE-GGA, optimized geometry)
data_PrHSe2
_chemical_formula_sum 'Pr4 H4 Se8'
_cell_length_a 7.8531
_cell_length_b 7.6500
_cell_length_c 8.2339
_cell_angle_alpha 90.00
_cell_angle_beta 119.15
_cell_angle_gamma 90.00
_symmetry_space_group_name_H-M 'P 1 21/c 1'
_symmetry_Int_Tables_number 14
_symmetry_space_group_name_Hall '-P 2ybc'
loop_
_atom_site_label
_atom_site_fract_x
_atom_site_fract_y
_atom_site_fract_z
Pr1 0.2091 0.1384 0.4560
H1 0.2900 0.5678 0.6182
Se1 0.0609 0.7126 0.9033
Se2 0.4397 0.0690 0.2343
# Energy ... -4.90 eV per atom

No. 3
# Tb7Pm2Y (PBE-GGA, optimized geometry)
data_Tb7Pm2Y
_chemical_formula_sum 'Tb7 Pm2 Y1'
_cell_length_a 6.1946
_cell_length_b 7.1652
_cell_length_c 8.0049
_cell_angle_alpha 77.14
_cell_angle_beta 74.96
_cell_angle_gamma 73.38
_symmetry_space_group_name_H-M 'P -1'
_symmetry_Int_Tables_number 2
_symmetry_space_group_name_Hall '-P 1'
loop_
_atom_site_label
_atom_site_fract_x
_atom_site_fract_y
_atom_site_fract_z
Tb1 0.0000 0.0000 0.0000
Tb2 0.2001 0.2999 0.5997
Tb3 0.3993 0.6006 0.1992
Tb4 0.4011 0.0998 0.1988
Pm1 0.2010 0.7998 0.6001
Y1 0.0000 0.5000 0.0000
# Relative energy among the computed polymorphs ... 0.000 eV per atom
# E_form ... 1.5 kJ/mol of atoms
# Energy ... -4.82 eV per atom

No. 4
# ThNbGe (PBE-GGA, optimized geometry)
data_ThNbGe
_chemical_formula_sum 'Th1 Nb1 Ge1'
_cell_length_a 4.5238
_cell_length_b 4.5238
_cell_length_c 4.0005
_cell_angle_alpha 90.00
_cell_angle_beta 90.00
_cell_angle_gamma 120.00
_symmetry_space_group_name_H-M 'P -6 m 2'
_symmetry_Int_Tables_number 187
_symmetry_space_group_name_Hall 'P -6 2'
loop_
_atom_site_label
_atom_site_fract_x
_atom_site_fract_y
_atom_site_fract_z
Th1 0.0000 0.0000 0.0000
Nb1 0.6667 0.3333 0.5000
Ge1 0.3333 0.6667 0.5000
# E_form ... -12.6 kJ/mol of atoms
# Energy ... -7.50 eV per atom

No. 5
# KSrY (PBE-GGA, optimized geometry)
data_KSrY
_chemical_formula_sum 'K2 Sr2 Y2'
_cell_length_a 3.7543
_cell_length_b 6.1799
_cell_length_c 12.1153
_cell_angle_alpha 90.00
_cell_angle_beta 90.00
_cell_angle_gamma 90.00
_symmetry_space_group_name_H-M 'I m m 2'
_symmetry_Int_Tables_number 44
_symmetry_space_group_name_Hall 'I 2 -2'
loop_
_atom_site_label
_atom_site_fract_x
_atom_site_fract_y
_atom_site_fract_z
K1 0.0000 0.0000 0.0000
Sr1 0.0000 0.0000 0.6764
Y1 0.0000 0.0000 0.3312
# Relative energy among the computed polymorphs ... 0.131 eV per atom
# E_form ... 42.0 kJ/mol of atoms
# Energy ... -2.65 eV per atom

No. 6
# Ba2NdCu (PBE-GGA, optimized geometry)
data_Ba2NdCu
_chemical_formula_sum 'Ba6 Nd3 Cu3'
_cell_length_a 4.0115
_cell_length_b 4.0115
_cell_length_c 35.5427
_cell_angle_alpha 90.00
_cell_angle_beta 90.00
_cell_angle_gamma 120.00
_symmetry_space_group_name_H-M 'R -3 m'
_symmetry_Int_Tables_number 166
_symmetry_space_group_name_Hall '-R 3 2"'
loop_
_atom_site_label
_atom_site_fract_x
_atom_site_fract_y
_atom_site_fract_z
Ba1 0.0000 0.0000 0.1059
Nd1 0.0000 0.0000 0.0000
Cu1 0.0000 0.0000 0.5000
# E_form ... 36.1 kJ/mol of atoms
# Energy ... -2.80 eV per atom

No. 7
# AcTmCdRu (PBE-GGA, optimized geometry)
data_AcTmCdRu
_chemical_formula_sum 'Ac4 Tm4 Cd4 Ru4'
_cell_length_a 7.4030
_cell_length_b 7.4030
_cell_length_c 7.4030
_cell_angle_alpha 90.00
_cell_angle_beta 90.00
_cell_angle_gamma 90.00
_symmetry_space_group_name_H-M 'F -4 3 m'
_symmetry_Int_Tables_number 216
_symmetry_space_group_name_Hall 'F -4 2 3'
loop_
_atom_site_label
_atom_site_fract_x
_atom_site_fract_y
_atom_site_fract_z
Ac1 0.0000 0.0000 0.0000
Tm1 0.0000 0.0000 0.5000
Cd1 0.2500 0.2500 0.7500
Ru1 0.2500 0.2500 0.2500
# E_form ... -10.3 kJ/mol of atoms
# Energy ... -4.80 eV per atom

No. 8
# PH3Pb (PBE-GGA, optimized geometry)
data_PH3Pb
_chemical_formula_sum 'P1 H3 Pb1'
_cell_length_a 4.1349
_cell_length_b 4.1349
_cell_length_c 4.1349
_cell_angle_alpha 90.00
_cell_angle_beta 90.00
_cell_angle_gamma 90.00
_symmetry_space_group_name_H-M 'P m -3 m'
_symmetry_Int_Tables_number 221
_symmetry_space_group_name_Hall '-P 4 2 3'
loop_
_atom_site_label
_atom_site_fract_x
_atom_site_fract_y
_atom_site_fract_z
P1 0.0000 0.0000 0.0000
H1 0.0000 0.5000 0.5000
Pb1 0.5000 0.5000 0.5000
# Relative energy among the computed polymorphs ... 0.498 eV per atom
# Energy ... -2.79 eV per atom